DFT (PBE) results for a geometry-optimized Cs3Tm3UTe8 structure.

```
Cs3Tm3UTe8
1.0
7.701 -4.451 0.000
7.701 4.451 0.000
-5.131 0.000 9.090
Cs Tm U Te
3 3 1 8
Direct
0.000 0.000 0.000
0.000 0.500 0.000
0.500 0.000 0.000
0.000 0.500 0.500
0.500 0.000 0.500
0.500 0.500 0.500
0.000 0.000 0.500
0.230 0.230 0.687
0.230 0.726 0.687
0.271 0.271 0.313
0.274 0.770 0.313
0.726 0.230 0.687
0.729 0.729 0.687
0.770 0.274 0.313
0.770 0.770 0.313
```

Fermi-level density of states	5.849	states/eV per cell
calculated total energy	-4.715	eV per atom
uncorrected formation energy	-1.222	eV/atom


DFT (PBE) results for a geometry-optimized B2N structure.

```
B2N
1.0
2.246 -1.278 0.000
2.246 1.278 0.000
-1.467 0.000 6.885
B N
4 2
Direct
0.000 0.000 0.000
0.082 0.082 0.254
0.239 0.239 0.701
0.511 0.511 0.555
0.304 0.304 0.914
0.443 0.443 0.341
```

Fermi-level density of states	1.334	states/eV per cell
calculated total energy	-7.678	eV per atom
uncorrected formation energy	-0.452	eV/atom
ΔE to the lowest computed polymorph	155	meV/atom


DFT (PBE) results for a geometry-optimized ScSbMo2As structure.

```
ScSbMo2As
1.0
4.869 0.000 0.000
0.000 4.869 0.000
0.000 0.000 5.150
Sc Sb Mo As
1 1 2 1
Direct
0.000 0.000 0.000
0.000 0.000 0.500
0.000 0.500 0.000
0.500 0.000 0.000
0.500 0.500 0.500
```

Fermi-level density of states	4.898	states/eV per cell
calculated total energy	-5.670	eV per atom
uncorrected formation energy	1.684	eV/atom


DFT (PBE) results for a geometry-optimized TaNb2B6 structure.

```
TaNb2B6
1.0
5.382 0.000 0.000
-2.691 4.661 0.000
0.000 0.000 3.353
Ta Nb B
1 2 6
Direct
0.000 0.000 0.000
0.333 0.667 0.000
0.667 0.333 0.000
0.000 0.332 0.500
0.000 0.668 0.500
0.332 0.000 0.500
0.332 0.332 0.500
0.668 0.000 0.500
0.668 0.668 0.500
```

Fermi-level density of states	3.811	states/eV per cell
calculated total energy	-8.684	eV per atom
formation energy from the elements	-678	meV/atom


DFT (PBE) results for a geometry-optimized HoAlPtRh structure.

```
HoAlPtRh
1.0
0.000 3.261 3.261
3.261 0.000 3.261
3.261 3.261 0.000
Ho Al Pt Rh
1 1 1 1
Direct
0.000 0.000 0.000
0.500 0.500 0.500
0.750 0.750 0.750
0.250 0.250 0.250
```

Fermi-level density of states	1.923	states/eV per cell
calculated total energy	-6.386	eV per atom
formation energy from the elements	-958	meV/atom


DFT (PBE) results for a geometry-optimized TlAsRu structure.

```
TlAsRu
1.0
0.000 3.151 3.151
3.151 0.000 3.151
3.151 3.151 0.000
Tl As Ru
1 1 1
Direct
0.000 0.000 0.000
0.500 0.500 0.500
0.250 0.250 0.250
```

Fermi-level density of states	2.811	states/eV per cell
calculated total energy	-5.054	eV per atom
formation energy from the elements	376	meV/atom
ΔE to the lowest computed polymorph	546	meV/atom


DFT (PBE) results for a geometry-optimized Zr6SiTc5 structure.

```
Zr6SiTc5
1.0
-2.313 3.321 6.987
2.313 -3.321 6.987
2.313 3.321 -6.987
Zr Si Tc
6 1 5
Direct
0.078 0.331 0.747
0.242 0.000 0.242
0.416 0.669 0.747
0.584 0.331 0.253
0.758 0.000 0.758
0.922 0.669 0.253
0.500 0.500 0.000
0.000 0.500 0.500
0.168 0.168 0.000
0.339 0.839 0.500
0.661 0.161 0.500
0.832 0.832 0.000
```

Fermi-level density of states	8.590	states/eV per cell
calculated total energy	-9.469	eV per atom
uncorrected formation energy	-0.424	eV/atom


DFT (PBE) results for a geometry-optimized Cd3GaCl structure.

```
Cd3GaCl
1.0
5.599 0.000 0.000
0.000 5.599 0.000
0.000 0.000 5.599
Cd Ga Cl
3 1 1
Direct
0.000 0.000 0.500
0.000 0.500 0.000
0.500 0.000 0.000
0.500 0.500 0.500
0.000 0.000 0.000
```

Fermi-level density of states	0.787	states/eV per cell
calculated total energy	-1.145	eV per atom
uncorrected formation energy	0.379	eV/atom
ΔE to the lowest computed polymorph	505	meV/atom


DFT (PBE) results for a geometry-optimized ZrSc2Mo structure.

```
ZrSc2Mo
1.0
-2.065 2.065 10.143
2.065 -2.065 10.143
2.065 2.065 -10.143
Zr Sc Mo
2 4 2
Direct
0.000 0.000 0.000
0.750 0.250 0.500
0.138 0.625 0.013
0.375 0.388 0.513
0.612 0.125 0.987
0.875 0.862 0.487
0.250 0.750 0.500
0.500 0.500 0.000
```

Fermi-level density of states	4.213	states/eV per cell
calculated total energy	-7.518	eV per atom
formation energy from the elements	493	meV/atom
ΔE to the lowest computed polymorph	436	meV/atom


DFT (PBE) results for a geometry-optimized PaCo2As2Pd structure.

```
PaCo2As2Pd
1.0
4.086 0.000 0.000
-2.043 3.539 0.000
0.000 0.000 6.525
Pa Co As Pd
1 2 2 1
Direct
0.000 0.000 0.000
0.333 0.667 0.697
0.667 0.333 0.303
0.333 0.667 0.276
0.667 0.333 0.724
0.000 0.000 0.500
```

Fermi-level density of states	4.202	states/eV per cell
calculated total energy	-6.905	eV per atom
formation energy from the elements	-538	meV/atom


DFT (PBE) results for a geometry-optimized CoAg2Mo structure.

```
CoAg2Mo
1.0
1.391 0.803 9.286
-1.391 0.803 9.286
0.000 -1.607 9.286
Co Ag Mo
1 2 1
Direct
0.000 0.000 0.000
0.251 0.251 0.251
0.493 0.493 0.493
0.736 0.736 0.736
```

Fermi-level density of states	2.842	states/eV per cell
calculated total energy	-5.594	eV per atom
formation energy from the elements	315	meV/atom
ΔE to the lowest computed polymorph	36	meV/atom


DFT (PBE) results for a geometry-optimized Ce2Pm2Pb structure.

```
Ce2Pm2Pb
1.0
-1.928 1.928 10.603
1.928 -1.928 10.603
1.928 1.928 -10.603
Ce Pm Pb
2 2 1
Direct
0.250 0.750 0.500
0.750 0.250 0.500
0.095 0.095 0.000
0.905 0.905 0.000
0.500 0.500 0.000
```

Fermi-level density of states	11.133	states/eV per cell
calculated total energy	-4.877	eV per atom
formation energy from the elements	139	meV/atom


DFT (PBE) results for a geometry-optimized Pm4Tm4Th structure.

```
Pm4Tm4Th
1.0
-5.373 5.373 2.511
5.373 -5.373 2.511
5.373 5.373 -2.511
Pm Tm Th
4 4 1
Direct
0.000 0.329 0.329
0.000 0.671 0.671
0.329 0.000 0.329
0.671 0.000 0.671
0.336 0.336 0.672
0.336 0.664 0.000
0.664 0.336 0.000
0.664 0.664 0.328
0.000 0.000 0.000
```

Fermi-level density of states	12.921	states/eV per cell
calculated total energy	-4.895	eV per atom
formation energy from the elements	28	meV/atom


DFT (PBE) results for a geometry-optimized LiZnCr structure.

```
LiZnCr
1.0
-1.584 1.590 4.427
1.584 -1.590 4.427
1.584 1.590 -4.427
Li Zn Cr
1 1 1
Direct
0.000 0.000 0.000
0.340 0.340 0.000
0.678 0.678 0.000
```

Fermi-level density of states	1.015	states/eV per cell
calculated total energy	-3.998	eV per atom
formation energy from the elements	272	meV/atom
ΔE to the lowest computed polymorph	198	meV/atom


DFT (PBE) results for a geometry-optimized BaTa2W structure.

```
BaTa2W
1.0
5.029 0.000 0.000
0.000 5.029 0.000
0.000 0.000 3.224
Ba Ta W
1 2 1
Direct
0.000 0.000 0.000
0.000 0.500 0.500
0.500 0.000 0.500
0.500 0.500 0.000
```

Fermi-level density of states	4.593	states/eV per cell
calculated total energy	-8.331	eV per atom
formation energy from the elements	1314	meV/atom
ΔE to the lowest computed polymorph	717	meV/atom


DFT (PBE) results for a geometry-optimized NbTlNiS3 structure.

```
NbTlNiS3
1.0
8.527 0.000 0.000
0.000 3.536 0.000
-3.894 0.000 8.429
Nb Tl Ni S
2 2 2 6
Direct
0.202 0.250 0.174
0.798 0.750 0.826
0.254 0.750 0.746
0.746 0.250 0.254
0.413 0.750 0.392
0.587 0.250 0.608
0.031 0.250 0.864
0.289 0.250 0.456
0.389 0.750 0.141
0.611 0.250 0.859
0.711 0.750 0.544
0.969 0.750 0.136
```

Fermi-level density of states	2.543	states/eV per cell
calculated total energy	-5.838	eV per atom
uncorrected formation energy	-0.738	eV/atom


DFT (PBE) results for a geometry-optimized HfTh2Mg structure.

```
HfTh2Mg
1.0
1.662 0.959 12.236
-1.662 0.959 12.236
0.000 -1.919 12.236
Hf Th Mg
1 2 1
Direct
0.000 0.000 0.000
0.409 0.409 0.409
0.591 0.591 0.591
0.500 0.500 0.500
```

Fermi-level density of states	6.500	states/eV per cell
calculated total energy	-6.284	eV per atom
formation energy from the elements	313	meV/atom
ΔE to the lowest computed polymorph	219	meV/atom


DFT (PBE) results for a geometry-optimized Ce3NdHo2S6 structure.

```
Ce3NdHo2S6
1.0
3.445 -5.970 0.000
3.445 5.970 0.000
-2.304 0.000 6.545
Ce Nd Ho S
3 1 2 6
Direct
0.000 0.000 0.000
0.337 0.663 0.000
0.663 0.337 0.000
0.500 0.500 0.500
0.167 0.833 0.500
0.833 0.167 0.500
0.076 0.419 0.257
0.237 0.237 0.739
0.419 0.076 0.257
0.581 0.924 0.743
0.763 0.763 0.261
0.924 0.581 0.743
```

Fermi-level density of states	16.310	states/eV per cell
calculated total energy	-6.731	eV per atom
uncorrected formation energy	-2.024	eV/atom


DFT (PBE) results for a geometry-optimized Zr2CrCu structure.

```
Zr2CrCu
1.0
-2.006 2.006 4.429
2.006 -2.006 4.429
2.006 2.006 -4.429
Zr Cr Cu
2 1 1
Direct
0.000 0.000 0.000
0.750 0.250 0.500
0.250 0.750 0.500
0.500 0.500 0.000
```

Fermi-level density of states	4.008	states/eV per cell
calculated total energy	-7.536	eV per atom
formation energy from the elements	168	meV/atom


DFT (PBE) results for a geometry-optimized ScCdRh2 structure.

```
ScCdRh2
1.0
1.526 0.881 8.551
-1.526 0.881 8.551
0.000 -1.762 8.551
Sc Cd Rh
1 1 2
Direct
0.000 0.000 0.000
0.500 0.500 0.500
0.255 0.255 0.255
0.745 0.745 0.745
```

Fermi-level density of states	2.956	states/eV per cell
calculated total energy	-5.836	eV per atom
formation energy from the elements	-348	meV/atom